# 1
Here is Sc2Be15Co2 after structural relaxation from the Alexandria database. Energies are from PBE.

The structure belongs to space group R-3m (No. 166, hexagonal axes); the cell edges are 7.6227, 7.6227 and 10.9214 Å and the angles 90.00°, 90.00° and 120.00°. The distinct sites, in fractional coordinates, are Sc at (0.0000, 0.0000, 0.1610), Be at (0.0000, 0.2827, 0.5000), Be at (0.0000, 0.5000, 0.0000), Be at (0.0049, 0.5024, 0.3436) and Co at (0.0000, 0.0000, 0.3969).

The calculation puts the density of states at the Fermi level at 0.331 states/eV/atom. As for the total energy: -4.59 eV per atom.

# 2
Here is ScBeCo2 after structural relaxation from the Alexandria database. Energies are from PBE.

The structure belongs to space group P4/mmm (No. 123); the cell edges are 2.906, 2.906 and 5.670 Å and the angles 90.00°, 90.00° and 90.00°. The distinct sites, in fractional coordinates, are Sc at (0.000, 0.000, 0.000), Be at (0.000, 0.000, 0.500) and Co at (0.500, 0.500, 0.293).

The calculation puts the density of states at the Fermi level at 0.739 states/eV/atom. As for the total energy: -6.27 eV per atom.

# 3
Here is Sc8BeCo2 after structural relaxation from the Alexandria database. Energies are from PBE.

The structure belongs to space group Cm (No. 8); the cell edges are 7.920, 11.990 and 4.890 Å and the angles 90.00°, 104.94° and 90.00°. The distinct sites, in fractional coordinates, are Sc at (0.000, 0.000, 0.000), Sc at (0.070, 0.370, 0.772), Sc at (0.175, 0.130, 0.604), Sc at (0.246, 0.500, 0.376), Sc at (0.373, 0.237, 0.188), Be at (0.374, 0.000, 0.186) and Co at (0.373, 0.311, 0.688).

The calculation puts the density of states at the Fermi level at 1.105 states/eV/atom. As for the total energy: -6.28 eV per atom.

# 4
Here is Sc2Be4Co after structural relaxation from the Alexandria database. Energies are from PBE.

The structure belongs to space group I4/mmm (No. 139); the cell edges are 3.932, 3.932 and 12.869 Å and the angles 90.00°, 90.00° and 90.00°. The distinct sites, in fractional coordinates, are Sc at (0.000, 0.000, 0.140), Be at (0.000, 0.000, 0.344), Be at (0.000, 0.500, 0.000) and Co at (0.000, 0.000, 0.500).

The calculation puts the density of states at the Fermi level at 0.643 states/eV/atom. As for the total energy: -4.85 eV per atom.

# 5
Here is ScBeCo after structural relaxation from the Alexandria database. Energies are from PBE.

The structure belongs to space group F-43m (No. 216); the cell edges are 5.675, 5.675 and 5.675 Å and the angles 90.00°, 90.00° and 90.00°. The distinct sites, in fractional coordinates, are Sc at (0.000, 0.000, 0.000), Be at (0.000, 0.000, 0.500) and Co at (0.250, 0.250, 0.250).

For the energy above the lowest structure with this stoichiometry, the calculation gives 431 meV per atom. The calculation puts the density of states at the Fermi level at 0.291 states/eV/atom. As for the total energy: -5.59 eV per atom.

# 6
Here is Sc4BeCo3 after structural relaxation from the Alexandria database. Energies are from PBE.

The structure belongs to space group P4/mmm (No. 123); the cell edges are 3.136, 3.136 and 12.552 Å and the angles 90.00°, 90.00° and 90.00°. The distinct sites, in fractional coordinates, are Sc at (0.000, 0.000, 0.124), Sc at (0.000, 0.000, 0.371), Be at (0.500, 0.500, 0.500), Co at (0.500, 0.500, 0.000) and Co at (0.500, 0.500, 0.250).

The calculation puts the density of states at the Fermi level at 0.620 states/eV/atom. As for the total energy: -6.58 eV per atom.

# 7
Here is ScBe3Co after structural relaxation from the Alexandria database. Energies are from PBE.

The structure belongs to space group Pm-3m (No. 221); the cell edges are 4.483, 4.483 and 4.483 Å and the angles 90.00°, 90.00° and 90.00°. The distinct sites, in fractional coordinates, are Sc at (0.000, 0.000, 0.000), Be at (0.000, 0.000, 0.500) and Co at (0.500, 0.500, 0.500).

For the energy above the lowest structure with this stoichiometry, the calculation gives 2255 meV per atom. The calculation puts the density of states at the Fermi level at 2.428 states/eV/atom. As for the total energy: -2.76 eV per atom.

# 8
Here is Sc2BeCo after structural relaxation from the Alexandria database. Energies are from PBE.

The structure belongs to space group F-43m (No. 216); the cell edges are 6.167, 6.167 and 6.167 Å and the angles 90.00°, 90.00° and 90.00°. The distinct sites, in fractional coordinates, are Sc at (0.000, 0.000, 0.000), Sc at (0.250, 0.250, 0.250), Be at (0.000, 0.000, 0.500) and Co at (0.250, 0.250, 0.750).

The calculation puts the density of states at the Fermi level at 1.040 states/eV/atom. As for the total energy: -5.86 eV per atom.